Version w
# PmErCuNi

A relaxed structure of PmErCuNi (GGA-PBE, Alexandria).

Geometry as POSCAR:
```
PmErCuNi
1.0
0.0000 3.4544 3.4544
3.4544 0.0000 3.4544
3.4544 3.4544 0.0000
Pm Er Cu Ni
1 1 1 1
Direct
0.0000 0.0000 0.0000 Pm
0.5000 0.5000 0.5000 Er
0.7500 0.7500 0.7500 Cu
0.2500 0.2500 0.2500 Ni
```

=====

Version x
# PmErCuNi

A relaxed structure of PmErCuNi (GGA-PBE, Alexandria).

Geometry as POSCAR:
```
PmErCuNi
1.0
4.4227 0.0000 0.0000
0.0000 1.8739 5.1453
0.0000 -1.8739 5.1453
Pm Er Cu Ni
1 1 1 1
Direct
0.0000 0.0000 0.0000 Pm
0.5000 0.2787 0.2787 Er
0.5000 0.5722 0.5722 Cu
0.0000 0.7145 0.7145 Ni
```

=====

Quick ranking, most stable first: version x, version w.